<w>
First-principles (PBE) data for a geometry-optimized SmEr2In2 structure, as listed in Alexandria via LeMat-Bulk.

The structure in POSCAR format:
```
SmEr2In2
1.0
-2.296 2.296 14.443
2.296 -2.296 14.443
2.296 2.296 -14.443
Sm Er In
2 4 4
direct
0.136 0.136 0.000
0.864 0.864 0.000
0.250 0.750 0.500
0.426 0.426 0.000
0.574 0.574 0.000
0.750 0.250 0.500
0.000 0.500 0.500
0.325 0.325 0.000
0.500 0.000 0.500
0.675 0.675 0.000
```

---

<x>
First-principles (PBE) data for a geometry-optimized SmEr2In2 structure, as listed in Alexandria via LeMat-Bulk.

The structure in POSCAR format:
```
SmEr2In2
1.0
1.877 -13.847 0.000
1.877 13.847 0.000
0.000 0.000 5.371
Sm Er In
2 4 4
direct
0.148 0.852 0.750
0.852 0.148 0.250
0.049 0.951 0.250
0.237 0.763 0.250
0.763 0.237 0.750
0.951 0.049 0.750
0.356 0.644 0.750
0.452 0.548 0.250
0.548 0.452 0.750
0.644 0.356 0.250
```

---

In terms of stability, <x> leads; the second structure lies 227 meV/atom higher.